Record 1
## Dy4Al3Pd (GGA-PBE)

Data for crystalline Dy4Al3Pd at its relaxed geometry.

a b c (Å): 3.5665 3.5665 14.4128
angles (deg): 90.00 90.00 90.00
Closest atoms and distances in Å follow each position.
Element x y z (fractional)
Al1 0.5000 0.5000 0.7535  8 Dy 3.11-3.13
Al2 0.5000 0.5000 0.5000  8 Dy 3.12
Al3 0.5000 0.5000 0.2465  8 Dy 3.11-3.13
Dy1 0.0000 0.0000 0.3726  8 Al 3.11-3.12
Dy2 0.0000 0.0000 0.6274  8 Al 3.11-3.12
Dy3 0.0000 0.0000 0.1178  4 Pd 3.04, 4 Al 3.13, 1 Dy 3.40
Pd1 0.5000 0.5000 0.0000  8 Dy 3.04
Dy4 0.0000 0.0000 0.8822  4 Pd 3.04, 4 Al 3.13, 1 Dy 3.40

Values from the calculation:
Total moment = 0.00 μB per cell
D(E_F) = 0.39 states/eV/atom
E_form = -0.5217 eV per atom
Space group = P4/mmm (123)
Calculated volume = 22.9 A^3/atom

Record 2
## TbSc2Pb (GGA-PBE)

Data for crystalline TbSc2Pb at its relaxed geometry.

a b c (Å): 5.2410 5.2410 5.2443
angles (deg): 60.02 60.02 60.00
Closest atoms and distances in Å follow each position.
Element x y z (fractional)
Sc1 0.2503 0.2503 0.2492  4 Sc 3.21-3.22, 4 Tb 3.21
Sc2 0.9999 0.9999 0.0003  4 Sc 3.21-3.22, 4 Pb 3.21
Pb1 0.7499 0.7499 0.7503  4 Sc 3.21, 4 Tb 3.21
Tb1 0.4999 0.4999 0.5002  4 Sc 3.21, 4 Pb 3.21

Values from the calculation:
Total moment = 0.51 μB per cell
D(E_F) = 1.70 states/eV/atom
E_form = -0.1003 eV per atom
Space group = F-43m (216)
Calculated volume = 25.5 A^3/atom

Record 3
## DyEr3Cl (GGA-PBE)

Data for crystalline DyEr3Cl at its relaxed geometry.

a b c (Å): 5.2272 5.2272 5.2272
angles (deg): 90.00 90.00 90.00
Closest atoms and distances in Å follow each position.
Element x y z (fractional)
Cl1 0.0000 0.0000 0.0000  6 Er 2.61
Er1 0.5000 0.0000 0.0000  2 Cl 2.61
Er2 0.0000 0.0000 0.5000  2 Cl 2.61
Dy1 0.5000 0.5000 0.5000  12 Er 3.70
Er3 0.0000 0.5000 0.0000  2 Cl 2.61

Values from the calculation:
Total moment = 0.00 μB per cell
D(E_F) = 1.28 states/eV/atom
Formation energy without anion corrections = -2.06 eV/f.u.
Space group = Pm-3m (221)
Calculated volume = 28.6 A^3/atom

Record 4
## Pm5MgAl4 (GGA-PBE)

Data for crystalline Pm5MgAl4 at its relaxed geometry.

a b c (Å): 3.7120 3.7120 18.9119
angles (deg): 90.00 90.00 90.00
Closest atoms and distances in Å follow each position.
Element x y z (fractional)
Pm1 0.5000 0.5000 0.5000  8 Al 3.20
Al1 0.0000 0.0000 0.2053  8 Pm 3.18-3.24
Pm2 0.5000 0.5000 0.3054  8 Al 3.21-3.24
Al2 0.0000 0.0000 0.7947  8 Pm 3.18-3.24
Pm3 0.5000 0.5000 0.8899  4 Al 3.18, 4 Mg 3.35
Mg1 0.0000 0.0000 0.0000  8 Pm 3.35, 4 Mg 3.71
Al3 0.0000 0.0000 0.4028  8 Pm 3.20-3.21
Pm4 0.5000 0.5000 0.1101  4 Al 3.18, 4 Mg 3.35
Pm5 0.5000 0.5000 0.6946  8 Al 3.21-3.24
Al4 0.0000 0.0000 0.5972  8 Pm 3.20-3.21

Values from the calculation:
Total moment = 0.00 μB per cell
D(E_F) = 0.66 states/eV/atom
E_form = -0.3143 eV per atom
Space group = P4/mmm (123)
Calculated volume = 26.1 A^3/atom

Record 5
## K2NdTlO4 (GGA-PBE)

Data for crystalline K2NdTlO4 at its relaxed geometry.

a b c (Å): 3.5703 6.1589 6.6823
angles (deg): 108.97 90.00 90.00
Closest atoms and distances in Å follow each position.
Element x y z (fractional)
O1 0.5000 0.2251 0.1953  2 Tl 2.37, 1 Nd 2.45
K1 0.5000 0.0000 0.5000  6 O 2.80-2.81
Nd1 0.5000 0.5000 0.0000  6 O 2.39-2.45
O2 0.0000 0.7254 0.2010  2 Nd 2.39, 1 Tl 2.48
Tl1 0.0000 0.0000 0.0000  6 O 2.37-2.48
K2 0.0000 0.5000 0.5000  6 O 2.78-2.82
O3 0.0000 0.2746 0.7990  2 Nd 2.39, 1 Tl 2.48
O4 0.5000 0.7749 0.8047  2 Tl 2.37, 1 Nd 2.45

Values from the calculation:
Total moment = 0.12 μB per cell
Formation energy without anion corrections = -14.36 eV/f.u.
Space group = P2/m (10)
Calculated volume = 17.4 A^3/atom

Record 6
## SiSBrN2 (GGA-PBE)

Data for crystalline SiSBrN2 at its relaxed geometry.

a b c (Å): 3.5037 3.5037 6.3991
angles (deg): 90.00 90.00 90.00
Closest atoms and distances in Å follow each position.
Element x y z (fractional)
Br1 0.5000 0.5000 0.5000  4 S 2.48
S1 0.0000 0.0000 0.5000  4 Br 2.48
N1 0.5000 0.0000 0.0000  2 Si 1.75
N2 0.0000 0.5000 0.0000  2 Si 1.75
Si1 0.0000 0.0000 0.0000  4 N 1.75

Values from the calculation:
Total moment = 0.00 μB per cell
D(E_F) = 0.48 states/eV/atom
Formation energy without anion corrections = 3.70 eV/f.u.
Space group = P4/mmm (123)
Calculated volume = 15.7 A^3/atom

Record 7
## Y3Si2Ni9Ge (GGA-PBE)

Data for crystalline Y3Si2Ni9Ge at its relaxed geometry.

a b c (Å): 5.8811 5.8811 8.2577
angles (deg): 90.00 90.00 120.00
Closest atoms and distances in Å follow each position.
Element x y z (fractional)
Si1 0.6667 0.3333 0.8218  6 Ni 2.14-2.25
Ni1 0.5000 0.5000 0.0000  2 Si 2.25
Ni2 0.7187 0.8593 0.2818  1 Si 2.14, 1 Ge 2.30
Y1 0.3333 0.6667 0.6704  9 Ni 2.98-3.21
Y2 0.0000 0.0000 0.0000  12 Ni 2.73-2.94
Ni3 0.8593 0.1407 0.7182  1 Si 2.14, 1 Ge 2.30
Ni4 0.5000 0.0000 0.0000  2 Si 2.25
Y3 0.6667 0.3333 0.3296  9 Ni 2.98-3.21
Ni5 0.8593 0.7187 0.7182  1 Si 2.14, 1 Ge 2.30
Ni6 0.2813 0.1407 0.7182  1 Si 2.14, 1 Ge 2.30
Ge1 0.0000 0.0000 0.5000  6 Ni 2.30
Si2 0.3333 0.6667 0.1782  6 Ni 2.14-2.25
Ni7 0.1407 0.2813 0.2818  1 Si 2.14, 1 Ge 2.30
Ni8 0.0000 0.5000 0.0000  2 Si 2.25
Ni9 0.1407 0.8593 0.2818  1 Si 2.14, 1 Ge 2.30

Values from the calculation:
Total moment = 0.00 μB per cell
D(E_F) = 0.64 states/eV/atom
Formation energy without anion corrections = -4.76 eV/f.u.
Space group = P-3m1 (164)
Calculated volume = 16.5 A^3/atom

Record 8
## Pm5TmAl4 (GGA-PBE)

Data for crystalline Pm5TmAl4 at its relaxed geometry.

a b c (Å): 3.6678 3.6678 20.0034
angles (deg): 90.00 90.00 90.00
Closest atoms and distances in Å follow each position.
Element x y z (fractional)
Al1 0.0000 0.0000 0.5942  8 Pm 3.21
Al2 0.0000 0.0000 0.4058  8 Pm 3.21
Pm1 0.5000 0.5000 0.1240  4 Al 3.18
Al3 0.0000 0.0000 0.7836  8 Pm 3.18-3.22
Pm2 0.5000 0.5000 0.5000  8 Al 3.21
Tm1 0.0000 0.0000 0.0000  8 Pm 3.59, 4 Tm 3.67
Pm3 0.5000 0.5000 0.6884  8 Al 3.21-3.22
Pm4 0.5000 0.5000 0.8760  4 Al 3.18
Al4 0.0000 0.0000 0.2164  8 Pm 3.18-3.22
Pm5 0.5000 0.5000 0.3116  8 Al 3.21-3.22

Values from the calculation:
Total moment = 0.00 μB per cell
D(E_F) = 0.73 states/eV/atom
E_form = -0.2710 eV per atom
Space group = P4/mmm (123)
Calculated volume = 26.9 A^3/atom

Record 9
## Nd7TmTl3 (GGA-PBE)

Data for crystalline Nd7TmTl3 at its relaxed geometry.

a b c (Å): 5.9822 8.4508 8.4508
angles (deg): 91.95 110.92 110.92
Closest atoms and distances in Å follow each position.
Element x y z (fractional)
Nd1 0.8309 0.8318 0.8318  1 Tm 3.34, 4 Tl 3.35-3.44, 1 Nd 3.39
Nd2 0.3220 0.0359 0.6065  4 Tl 3.17-3.52, 2 Nd 3.42-3.43
Tl1 0.5000 0.0000 0.0000  8 Nd 3.17-3.44
Tm1 0.5000 0.5000 0.5000  4 Nd 2.99-3.34
Nd3 0.6780 0.9641 0.3935  4 Tl 3.17-3.52, 2 Nd 3.42-3.43
Tl2 0.0000 0.2373 0.7627  9 Nd 3.19-3.52
Nd4 0.6780 0.3935 0.9641  4 Tl 3.17-3.52, 2 Nd 3.42-3.43
Tl3 0.0000 0.7627 0.2373  9 Nd 3.19-3.52
Nd5 0.0000 0.5000 0.5000  2 Tm 2.99, 2 Tl 3.19
Nd6 0.1691 0.1682 0.1682  1 Tm 3.34, 4 Tl 3.35-3.44, 1 Nd 3.39
Nd7 0.3220 0.6065 0.0359  4 Tl 3.17-3.52, 2 Nd 3.42-3.43

Values from the calculation:
Total moment = 0.03 μB per cell
D(E_F) = 1.46 states/eV/atom
E_form = -0.0112 eV per atom
Space group = C2/m (12)
Calculated volume = 33.3 A^3/atom

Record 10
## Dy6ErIn5 (GGA-PBE)

Data for crystalline Dy6ErIn5 at its relaxed geometry.

a b c (Å): 5.2642 7.7998 9.2746
angles (deg): 114.87 106.49 90.00
Closest atoms and distances in Å follow each position.
Element x y z (fractional)
Dy1 0.5000 0.7360 0.0000  6 In 3.18-3.26, 2 Er 3.34
Er1 0.0000 0.0000 0.0000  8 Dy 3.34-3.40, 4 In 3.58
Dy2 0.1712 0.9135 0.3424  7 In 3.24-3.40, 1 Er 3.40
In1 0.3315 0.3315 0.6631  8 Dy 3.24-3.26
In2 0.6685 0.6685 0.3369  8 Dy 3.24-3.26
In3 0.6518 0.1518 0.3036  8 Dy 3.18-3.40
Dy3 0.5000 0.2640 0.0000  6 In 3.18-3.26, 2 Er 3.34
Dy4 0.1712 0.4288 0.3424  7 In 3.24-3.40, 1 Er 3.40
In4 0.0000 0.5000 0.0000  8 Dy 3.21-3.33
Dy5 0.8288 0.5712 0.6576  7 In 3.24-3.40, 1 Er 3.40
In5 0.3482 0.8482 0.6964  8 Dy 3.18-3.40
Dy6 0.8288 0.0865 0.6576  7 In 3.24-3.40, 1 Er 3.40

Values from the calculation:
Total moment = 0.02 μB per cell
D(E_F) = 1.06 states/eV/atom
E_form = -0.3709 eV per atom
Space group = Immm (71)
Calculated volume = 27.3 A^3/atom

Record 11
## CaCd2Si (GGA-PBE)

Data for crystalline CaCd2Si at its relaxed geometry.

a b c (Å): 3.6031 3.6031 7.2190
angles (deg): 90.00 90.00 89.97
Closest atoms and distances in Å follow each position.
Element x y z (fractional)
Cd1 0.5000 0.5000 0.2722  4 Si 2.90, 4 Cd 3.07-3.08
Si1 0.0000 0.0000 0.4630  5 Cd 2.90-3.10, 4 Ca 3.20
Cd2 0.0000 0.0000 0.0337  4 Cd 3.07-3.08, 1 Si 3.10, 4 Ca 3.36
Ca1 0.5000 0.5000 0.7311  4 Si 3.20, 5 Cd 3.31-3.36

Values from the calculation:
Total moment = 0.00 μB per cell
D(E_F) = 0.51 states/eV/atom
Formation energy without anion corrections = -0.15 eV/f.u.
Space group = P4mm (99)
Calculated volume = 23.4 A^3/atom

Record 12
## Tb2Co2Si3 (GGA-PBE)

Data for crystalline Tb2Co2Si3 at its relaxed geometry.

a b c (Å): 4.0585 6.6299 8.8392
angles (deg): 90.00 103.27 90.00
Closest atoms and distances in Å follow each position.
Element x y z (fractional)
Co1 0.3065 0.0560 0.6129  4 Si 2.37-2.49, 1 Co 2.57
Si1 0.2229 0.7500 0.4459  6 Co 2.46-2.49
Co2 0.6935 0.9440 0.3871  4 Si 2.37-2.49, 1 Co 2.57
Tb1 0.8400 0.7500 0.6800  6 Co 2.83-2.93, 6 Si 2.86-2.88
Tb2 0.9459 0.2500 0.8918  9 Si 2.90-3.12
Si2 0.7771 0.2500 0.5541  6 Co 2.46-2.49
Si3 0.4356 0.9327 0.8713  1 Co 2.37, 2 Si 2.39-2.42
Si4 0.5644 0.4327 0.1287  1 Co 2.37, 2 Si 2.39-2.42
Co3 0.3065 0.4440 0.6129  4 Si 2.37-2.49, 1 Co 2.57
Tb3 0.1600 0.2500 0.3200  6 Co 2.83-2.93, 6 Si 2.86-2.88
Tb4 0.0541 0.7500 0.1082  9 Si 2.90-3.12
Co4 0.6935 0.5560 0.3871  4 Si 2.37-2.49, 1 Co 2.57
Si5 0.4356 0.5673 0.8713  1 Co 2.37, 2 Si 2.39-2.42
Si6 0.5644 0.0673 0.1287  1 Co 2.37, 2 Si 2.39-2.42

Values from the calculation:
Total moment = 0.00 μB per cell
D(E_F) = 0.75 states/eV/atom
Formation energy without anion corrections = -4.85 eV/f.u.
Space group = Cmcm (63)
Calculated volume = 16.5 A^3/atom

no.,mass density (g cm⁻³)
1,7.58
2,7.43
3,8.14
4,5.46
5,5.87
6,3.55
7,6.20
8,6.18
9,8.12
10,8.68
11,5.19
12,7.46